No. 1
## CsIrSe2O8 (PBE)

Data for a relaxed CsIrSe2O8 crystal.

a = 5.519 Å, b = 5.519 Å, c = 7.908 Å
α = 90.00°, β = 90.00°, γ = 120.00°
Element x y z (fractional)
Cs  0.000  0.000  0.000
Ir  0.000  0.000  0.500
Se  0.333  0.667  0.283
Se  0.667  0.333  0.717
O  0.158  0.317  0.330
O  0.158  0.842  0.330
O  0.317  0.158  0.670
O  0.333  0.667  0.076
O  0.667  0.333  0.924
O  0.683  0.842  0.330
O  0.842  0.158  0.670
O  0.842  0.683  0.670

Electronic total energy (eV/atom): -5.3653

No. 2
## CsIrSeO (PBE)

Data for a relaxed CsIrSeO crystal.

a = 4.645 Å, b = 7.158 Å, c = 7.317 Å
α = 90.00°, β = 90.00°, γ = 90.00°
Element x y z (fractional)
Cs  0.000  0.173  0.000
Cs  0.000  0.827  0.500
Ir  0.500  0.455  0.448
Ir  0.500  0.545  0.948
Se  0.000  0.326  0.471
Se  0.000  0.674  0.971
O  0.500  0.481  0.195
O  0.500  0.519  0.695

Distance to the lowest polymorph of the same formula (meV per atom): 50

No. 3
## Cs2SrIrO6 (PBE)

Data for a relaxed Cs2SrIrO6 crystal.

a = 6.187 Å, b = 6.187 Å, c = 6.187 Å
α = 60.00°, β = 60.00°, γ = 60.00°
Element x y z (fractional)
Cs  0.250  0.250  0.250
Cs  0.750  0.750  0.750
Sr  0.000  0.000  0.000
Ir  0.500  0.500  0.500
O  0.283  0.283  0.717
O  0.283  0.717  0.283
O  0.283  0.717  0.717
O  0.717  0.283  0.283
O  0.717  0.283  0.717
O  0.717  0.717  0.283

Electronic total energy (eV/atom): -5.5693

No. 4
## CsP5Ir3 (PBE)

Data for a relaxed CsP5Ir3 crystal.

a = 5.535 Å, b = 5.535 Å, c = 7.943 Å
α = 90.00°, β = 90.00°, γ = 120.00°
Element x y z (fractional)
Cs  0.000  0.000  0.000
P  0.000  0.000  0.500
P  0.333  0.667  0.274
P  0.333  0.667  0.726
P  0.667  0.333  0.274
P  0.667  0.333  0.726
Ir  0.000  0.500  0.500
Ir  0.500  0.000  0.500
Ir  0.500  0.500  0.500

Electronic total energy (eV/atom): -6.1118